Entry 1:
A relaxed EuScGaCu crystal. Source: Alexandria via LeMat-Bulk, functional GGA-PBE.

Cell: 4.9538 4.9538 4.9538 Å, 60.00 60.00 60.00°
Last column: nearest neighbours and their distance in Å.
Fractional coordinates of all 4 atoms:
Eu 0.0000 0.0000 0.0000  4 Ga 3.03, 4 Cu 3.03
Sc 0.5000 0.5000 0.5000  4 Ga 3.03, 4 Cu 3.03
Ga 0.7500 0.7500 0.7500  4 Eu 3.03, 4 Sc 3.03
Cu 0.2500 0.2500 0.2500  4 Sc 3.03, 4 Eu 3.03

Computed properties:
calculated volume	21.49	Å³/atom
SG	F-43m
ΔH_f (0 K)	-1.06	eV per formula unit
calculated density	6378	kg/m³
E_tot	-6.20	eV per atom
crystal system	cubic

Entry 2:
A relaxed SmEuGaCu crystal. Source: Alexandria via LeMat-Bulk, functional GGA-PBE.

Cell: 5.1582 5.1582 5.1582 Å, 60.00 60.00 60.00°
Last column: nearest neighbours and their distance in Å.
Fractional coordinates of all 4 atoms:
Sm 0.0000 0.0000 0.0000  4 Cu 3.16, 4 Ga 3.16
Eu 0.5000 0.5000 0.5000  4 Cu 3.16, 4 Ga 3.16
Ga 0.2500 0.2500 0.2500  4 Sm 3.16, 4 Eu 3.16
Cu 0.7500 0.7500 0.7500  4 Sm 3.16, 4 Eu 3.16

Computed properties:
calculated volume	24.26	Å³/atom
SG	F-43m
ΔH_f (0 K)	-1.20	eV per formula unit
calculated density	7454	kg/m³
E_tot	-5.83	eV per atom
crystal system	cubic

Entry 3:
A relaxed TbEuGaCu crystal. Source: Alexandria via LeMat-Bulk, functional GGA-PBE.

Cell: 5.1110 5.1110 5.1110 Å, 60.00 60.00 60.00°
Last column: nearest neighbours and their distance in Å.
Fractional coordinates of all 4 atoms:
Tb 0.0000 0.0000 0.0000  4 Cu 3.13, 4 Ga 3.13
Eu 0.5000 0.5000 0.5000  4 Cu 3.13, 4 Ga 3.13
Ga 0.2500 0.2500 0.2500  4 Tb 3.13, 4 Eu 3.13
Cu 0.7500 0.7500 0.7500  4 Tb 3.13, 4 Eu 3.13

Computed properties:
calculated volume	23.60	Å³/atom
SG	F-43m
ΔH_f (0 K)	-1.24	eV per formula unit
calculated density	7813	kg/m³
E_tot	-5.82	eV per atom
crystal system	cubic

Entry 4:
A relaxed EuThGaCu crystal. Source: Alexandria via LeMat-Bulk, functional GGA-PBE.

Cell: 5.1709 5.1709 5.1709 Å, 60.00 60.00 60.00°
Last column: nearest neighbours and their distance in Å.
Fractional coordinates of all 4 atoms:
Eu 0.0000 0.0000 0.0000  4 Cu 3.17, 4 Ga 3.17
Th 0.5000 0.5000 0.5000  4 Cu 3.17, 4 Ga 3.17
Ga 0.2500 0.2500 0.2500  4 Th 3.17, 4 Eu 3.17
Cu 0.7500 0.7500 0.7500  4 Th 3.17, 4 Eu 3.17

Computed properties:
calculated volume	24.44	Å³/atom
SG	F-43m
ΔH_f (0 K)	-0.85	eV per formula unit
calculated density	8786	kg/m³
E_tot	-6.42	eV per atom
crystal system	cubic